Record 1
Ce4Th: relaxed, PBE-GGA.

Computed properties:
Energy relative to the lowest polymorph listed for this composition = 815 meV per atom
Spin magnetization = 1.884 μB/cell
DOS at the Fermi energy = 21.87 states/eV/cell
Formation enthalpy at 0 K = 401 kJ/mol of formula units
Crystal system = cubic

a b c (Å): 5.660 5.660 5.660
angles (deg): 90.00 90.00 90.00
Atoms (fractional coordinates):
1 Ce 0.000 0.000 0.000
2 Ce 0.000 0.500 0.500
3 Ce 0.500 0.000 0.500
4 Ce 0.500 0.500 0.000
5 Th 0.500 0.500 0.500



Record 2
Li2AgPdCl6: relaxed, PBE-GGA.

Computed properties:
E_tot = -3.2432 eV per atom
Spin magnetization = 0.832 μB/cell
DOS at the Fermi energy = 1.90 states/eV/cell
Crystal system = triclinic

a b c (Å): 6.356 6.408 6.878
angles (deg): 65.47 63.51 62.05
Atoms (fractional coordinates):
1 Li 0.000 0.000 0.000
2 Li 0.475 0.472 0.533
3 Ag 0.179 0.181 0.438
4 Pd 0.671 0.676 0.962
5 Cl 0.046 0.766 0.738
6 Cl 0.289 0.606 0.203
7 Cl 0.399 0.076 0.723
8 Cl 0.605 0.889 0.208
9 Cl 0.754 0.430 0.736
10 Cl 0.884 0.277 0.230



Record 3
Pu4Os: relaxed, PBE-GGA.

Computed properties:
Spin magnetization = 22.609 μB/cell
DOS at the Fermi energy = 31.43 states/eV/cell
Formation enthalpy at 0 K = 189 kJ/mol of formula units
Crystal system = cubic

a b c (Å): 5.338 5.338 5.338
angles (deg): 90.00 90.00 90.00
Atoms (fractional coordinates):
1 Pu 0.000 0.000 0.000
2 Pu 0.000 0.500 0.500
3 Pu 0.500 0.000 0.500
4 Pu 0.500 0.500 0.000
5 Os 0.500 0.500 0.500



Record 4
MnCoGe: relaxed, PBE-GGA.

Computed properties:
Spin magnetization = 15.007 μB/cell
DOS at the Fermi energy = 4.80 states/eV/cell
Formation enthalpy at 0 K = -58 kJ/mol of formula units
Crystal system = orthorhombic

a b c (Å): 5.830 3.781 7.064
angles (deg): 90.00 90.00 90.00
Atoms (fractional coordinates):
1 Mn 0.030 0.250 0.191
2 Mn 0.470 0.750 0.691
3 Mn 0.530 0.250 0.309
4 Mn 0.970 0.750 0.809
5 Co 0.159 0.250 0.560
6 Co 0.341 0.750 0.060
7 Co 0.659 0.250 0.940
8 Co 0.841 0.750 0.440
9 Ge 0.240 0.750 0.380
10 Ge 0.260 0.250 0.880
11 Ge 0.740 0.750 0.120
12 Ge 0.760 0.250 0.620